A geometry-optimized Fe5O8F2 structure. Source: the Alexandria database, functional GGA+U.

Lattice parameters (Å, degrees): 4.626 5.523 12.835 101.42 90.42 91.52
Site moments in Bohr magnetons follow the coordinates.
Positions (direct):
F1 0.206 0.341 0.452  0.01
O1 0.289 0.445 0.860  -0.06
Fe1 0.995 0.193 0.804  4.06
F2 0.780 0.466 0.745  0.09
O2 0.306 0.257 0.074  -0.18
Fe2 0.521 0.090 0.396  2.92
Fe3 0.007 0.807 0.196  4.16
Fe4 0.989 0.399 0.598  3.17
O3 0.809 0.041 0.131  0.11
Fe5 0.020 0.008 0.004  -3.83
O4 0.304 0.848 0.462  -0.16
Fe6 0.457 0.706 0.797  4.25
O5 0.326 0.046 0.260  -0.05
O6 0.197 0.750 0.058  0.00
O7 0.684 0.957 0.736  -0.01
Fe7 0.991 0.611 0.403  2.88
Fe8 0.493 0.903 0.598  4.05
Fe9 0.531 0.288 0.198  3.93
O8 0.710 0.551 0.144  -0.08
Fe10 0.494 0.489 0.002  -4.28
O9 0.814 0.857 0.340  -0.26
O10 0.713 0.350 0.336  -0.14
O11 0.683 0.158 0.539  -0.13
O12 0.806 0.645 0.533  -0.27
O13 0.291 0.648 0.655  0.02
F3 0.208 0.556 0.268  0.04
O14 0.171 0.156 0.665  -0.22
O15 0.808 0.241 0.941  -0.05
O16 0.195 0.950 0.869  0.12
F4 0.699 0.746 0.934  -0.04

Calculated values
ΔE to the lowest computed polymorph ... 0.092 eV/atom